DFT (GGA-PBE) results for a geometry-optimized Ba2Ag5Pb3 structure.

a b c (Å): 5.0723 5.0723 11.4535
angles (deg): 90.00 90.00 90.00
With the nearest neighbours (Å) after each atom.
Atoms (fractional coordinates):
Ba  0.0000  0.5000  0.2283  11 Ag 3.64-4.01, 6 Pb 3.83-4.01
Ba  0.5000  0.0000  0.7717  11 Ag 3.64-4.01, 6 Pb 3.83-4.01
Ag  0.0000  0.0000  0.0000  4 Ag 2.77
Ag  0.0000  0.0000  0.5000  4 Pb 3.09
Ag  0.0000  0.5000  0.9023  4 Ag 2.77, 1 Pb 2.84
Ag  0.5000  0.0000  0.0977  4 Ag 2.77, 1 Pb 2.84
Ag  0.5000  0.5000  0.0000  4 Ag 2.77
Pb  0.0000  0.5000  0.6546  3 Ag 2.84-3.09, 2 Pb 3.09
Pb  0.5000  0.0000  0.3454  3 Ag 2.84-3.09, 2 Pb 3.09
Pb  0.5000  0.5000  0.5000  4 Pb 3.09

Summary:
As for the density: 8.1 g cm⁻³. The total magnetization comes out at 0.0 μB per cell. Its raw total energy is -31.1 eV for the cell shown. The calculation puts the formation energy at -1.88 eV per formula unit. The space-group type is P-4m2, No. 115.